A plane-wave DFT calculation with PBE-GGA was carried out for crystalline Li2Mg3Ag4 at its relaxed geometry.

Cell lengths 4.6189, 4.6189, 8.7485 Å; angles 90.00, 90.00, 120.00 degrees
With the nearest neighbours (Å) after each atom.
Space group P-3m1 (No. 164)
Symmetry-distinct sites (fractional):
Li 0.3333 0.6667 0.2129  7 Ag 2.82-2.86
Mg 0.0000 0.0000 0.0000  8 Ag 2.83-2.90
Mg 0.3333 0.6667 0.5740  4 Ag 2.77-2.79, 3 Mg 2.96
Ag 0.0000 0.0000 0.3312  4 Mg 2.79-2.90, 3 Li 2.86, 1 Ag 2.95
Ag 0.3333 0.6667 0.8910  4 Mg 2.77-2.83, 4 Li 2.82

Computed properties:
Formation energy from the elements (meV/atom): -198.7